Material: HgWN2
Method: DFT, PBE-GGA
State: optimized geometry

abc: 6.9749 6.9749 6.9749
angles: 26.50 26.50 26.50
Closest atoms and distances in Å follow each position.
Atoms (fractional coordinates):
Hg1 0.5000 0.5000 0.5000  6 N 2.36
N1 0.0935 0.0935 0.0935  1 W 1.89
N2 0.9065 0.9065 0.9065  1 W 1.89
W1 0.0000 0.0000 0.0000  2 N 1.89

=====

Material: Y2HgN
Method: DFT, PBE-GGA
State: optimized geometry

Output
Relative energy among the computed polymorphs ... 152 meV/atom

abc: 6.8097 6.8097 6.3241
angles: 57.43 57.43 90.00
Closest atoms and distances in Å follow each position.
Atoms (fractional coordinates):
Y1 0.8750 0.7806 0.7500  2 N 2.25
Y2 0.5306 0.1250 0.2500  2 N 2.25
Y3 0.2194 0.6250 0.2500  2 N 2.25
Y4 0.3750 0.4694 0.7500  2 N 2.25
N1 0.5000 0.5000 0.0000  4 Y 2.25
N2 0.2500 0.7500 0.5000  4 Y 2.25
Hg1 0.7500 0.2500 0.5000  4 Y 3.07
Hg2 0.0000 0.0000 0.0000  4 Y 3.07

=====

no.,formation energy from raw total energies (eV per atom)
1,1.32
2,-0.86